First-principles (PBE) data for VGaFeW after structural relaxation, as listed in Alexandria via LeMat-Bulk.

a = 4.2564 Å, b = 4.2564 Å, c = 4.2564 Å
α = 60.00°, β = 60.00°, γ = 60.00°
With the nearest neighbours (Å) after each atom.
Element x y z (fractional)
Ga  0.2500  0.2500  0.2500  4 V 2.61, 4 Fe 2.61
V  0.0000  0.0000  0.0000  4 W 2.61, 4 Ga 2.61
Fe  0.5000  0.5000  0.5000  4 W 2.61, 4 Ga 2.61
W  0.7500  0.7500  0.7500  4 Fe 2.61, 4 V 2.61

Density   10.97 g/cm3
Energy of formation   0.1 eV per formula unit
SG   F-43m, No. 216